# RbCdAg4, relaxed, DFT PBE-GGA
# - Symmetry: F-43m, No. 216
# - Crystal system: cubic
# - Theoretical density: 7.5 g/cm³
# - Raw total energy: -12.72 eV/f.u.
# - E_form: 0.094 eV per atom
data_RbCdAg4
_space_group_name_H-M_alt 'P 1'
_space_group_IT_number 1
_cell_length_a 5.826
_cell_length_b 5.826
_cell_length_c 5.826
_cell_angle_alpha 60.00
_cell_angle_beta 60.00
_cell_angle_gamma 60.00
loop_
_space_group_symop_operation_xyz
'x,y,z'
loop_
_atom_site_label
_atom_site_fract_x
_atom_site_fract_y
_atom_site_fract_z
Ag1 0.122 0.626 0.626
Ag2 0.626 0.626 0.626
Ag3 0.626 0.626 0.122
Ag4 0.626 0.122 0.626
Rb1 0.250 0.250 0.250
Cd1 0.000 0.000 0.000